Density functional theory data (PBE) for a geometry-optimized LiErPaO4 structure.

Geometry as POSCAR:
```
LiErPaO4
1.0
-3.3242 3.5478 4.8195
3.3242 -3.5478 4.8195
3.3242 3.5478 -4.8195
Li Er Pa O
2 2 2 8
Direct
0.3572 0.1072 0.2500 Li
0.6428 0.8928 0.7500 Li
0.0000 0.0000 0.5000 Er
0.0000 0.5000 0.0000 Er
0.0000 0.5000 0.5000 Pa
0.5000 0.5000 0.0000 Pa
0.1937 0.7296 0.4642 O
0.2346 0.2704 0.9642 O
0.2374 0.2620 0.5246 O
0.2374 0.7128 0.9754 O
0.7626 0.2872 0.0246 O
0.7626 0.7380 0.4754 O
0.7654 0.7296 0.0358 O
0.8063 0.2704 0.5358 O
```

## Properties
The density of states at the Fermi level comes out at 5.468 states/eV per cell. The space group is Imma. The value obtained for the energy relative to the elements, uncorrected is -21.2 eV per formula unit.